1.
DFT (PBE-GGA) results for a geometry-optimized Pr2NdSm6Y3 structure.

```
Pr2NdSm6Y3
1.0
-1.471 -1.303 5.986
4.349 -3.436 -2.996
7.479 9.039 2.699
Pr Nd Sm Y
2 1 6 3
Direct
0.333 0.667 0.000 Pr
0.667 0.333 0.000 Pr
0.000 0.000 0.000 Nd
0.916 0.583 0.746 Sm
0.751 0.751 0.254 Sm
0.084 0.417 0.254 Sm
0.583 0.916 0.746 Sm
0.249 0.249 0.746 Sm
0.417 0.084 0.254 Sm
0.167 0.833 0.500 Y
0.833 0.167 0.500 Y
0.500 0.500 0.500 Y
```

Results
M_tot = 0.00 μB per cell
ΔH_f (0 K) = 1.49 kJ per mole of atoms

***

2.
DFT (PBE-GGA) results for a geometry-optimized Er3CuSi6Ni2 structure.

```
Er3CuSi6Ni2
1.0
-0.974 -3.603 3.641
4.590 0.033 -2.474
3.359 5.461 6.303
Er Cu Si Ni
3 1 6 2
Direct
0.333 0.667 0.576 Er
0.667 0.333 0.424 Er
0.000 0.000 0.000 Er
0.000 0.000 0.500 Cu
0.665 0.833 0.278 Si
0.167 0.335 0.278 Si
0.167 0.833 0.278 Si
0.833 0.665 0.722 Si
0.335 0.167 0.722 Si
0.833 0.167 0.722 Si
0.667 0.333 0.918 Ni
0.333 0.667 0.082 Ni
```

Results
formation energy from raw total energies = -3.73 eV per formula unit
M_tot = 0.00 μB per cell

***

3.
DFT (PBE-GGA) results for a geometry-optimized Pm3Pb4S8 structure.

```
Pm3Pb4S8
1.0
-7.789 2.648 0.729
1.542 -7.978 -1.604
4.879 -0.442 6.678
Pm Pb S
3 4 8
Direct
0.500 0.500 0.000 Pm
0.500 0.000 0.500 Pm
0.500 0.500 0.500 Pm
0.500 0.000 0.000 Pb
0.000 0.500 0.000 Pb
0.000 0.000 0.000 Pb
0.000 0.000 0.500 Pb
0.504 0.257 0.257 S
0.000 0.747 0.253 S
0.018 0.260 0.260 S
0.500 0.745 0.255 S
0.500 0.255 0.745 S
0.982 0.740 0.740 S
0.000 0.253 0.747 S
0.496 0.743 0.743 S
```

Results
formation energy from raw total energies = -17.41 eV per formula unit
M_tot = 0.00 μB per cell

***

4.
DFT (PBE-GGA) results for a geometry-optimized BiSb2 structure.

```
BiSb2
1.0
3.909 -0.007 -0.010
-0.007 3.909 -0.010
-1.969 -1.969 5.668
Sb Bi
2 1
Direct
0.183 0.183 0.361 Sb
0.817 0.817 0.639 Sb
0.500 0.500 0.000 Bi
```

Results
E above lowest polymorph = 14.6 kJ/mol of formula units
formation energy from raw total energies = 0.55 eV per formula unit
M_tot = 0.00 μB per cell

***

5.
DFT (PBE-GGA) results for a geometry-optimized Mn6Ni3N structure.

```
Mn6Ni3N
1.0
-5.335 -1.591 -2.705
1.890 -1.958 -5.560
-0.035 -6.150 0.701
Mn Ni N
12 6 2
Direct
0.145 0.794 0.794 Mn
0.206 0.855 0.206 Mn
0.183 0.531 0.531 Mn
0.206 0.206 0.855 Mn
0.531 0.531 0.183 Mn
0.469 0.817 0.469 Mn
0.531 0.183 0.531 Mn
0.469 0.469 0.817 Mn
0.794 0.794 0.145 Mn
0.817 0.469 0.469 Mn
0.794 0.145 0.794 Mn
0.855 0.206 0.206 Mn
0.140 0.469 0.140 Ni
0.140 0.140 0.469 Ni
0.531 0.860 0.860 Ni
0.469 0.140 0.140 Ni
0.860 0.860 0.531 Ni
0.860 0.531 0.860 Ni
0.000 0.000 0.000 N
0.500 0.500 0.500 N
```

Results
formation energy from raw total energies = -0.53 eV per formula unit
M_tot = 2.35 μB per cell

***

6.
DFT (PBE-GGA) results for a geometry-optimized DyAuCl6 structure.

```
DyAuCl6
1.0
7.545 1.306 -0.572
5.013 6.417 -0.677
3.582 2.185 5.551
Dy Au Cl
1 1 6
Direct
0.500 0.500 0.500 Dy
0.000 0.000 0.000 Au
0.120 0.504 0.678 Cl
0.718 0.091 0.848 Cl
0.627 0.200 0.294 Cl
0.282 0.909 0.152 Cl
0.880 0.496 0.322 Cl
0.373 0.800 0.706 Cl
```

Results
formation energy from raw total energies = -9.34 eV per formula unit
M_tot = 0.00 μB per cell

***

7.
DFT (PBE-GGA) results for a geometry-optimized PrDy6Se8 structure.

```
PrDy6Se8
1.0
-6.388 -3.649 3.497
0.105 -8.042 1.288
0.617 -2.902 7.586
Pr Dy Se
1 6 8
Direct
0.000 0.000 0.000 Pr
0.000 0.500 0.500 Dy
0.500 0.000 0.000 Dy
0.500 0.500 0.000 Dy
0.000 0.000 0.500 Dy
0.000 0.500 0.000 Dy
0.500 0.000 0.500 Dy
0.750 0.750 0.750 Se
0.250 0.250 0.250 Se
0.739 0.261 0.261 Se
0.261 0.739 0.739 Se
0.261 0.261 0.739 Se
0.739 0.739 0.261 Se
0.739 0.261 0.739 Se
0.261 0.739 0.261 Se
```

Results
formation energy from raw total energies = -27.37 eV per formula unit
M_tot = 0.00 μB per cell

***

8.
DFT (PBE-GGA) results for a geometry-optimized La2SmGeN structure.

```
La2SmGeN
1.0
3.839 0.000 0.000
-1.919 8.547 0.000
0.000 0.000 7.645
La Sm Ge N
4 2 2 2
Direct
0.144 0.288 0.033 La
0.856 0.712 0.967 La
0.144 0.288 0.467 La
0.856 0.712 0.533 La
0.511 0.023 0.750 Sm
0.489 0.977 0.250 Sm
0.690 0.379 0.750 Ge
0.310 0.621 0.250 Ge
0.000 0.000 0.000 N
0.000 0.000 0.500 N
```

Results
formation energy from raw total energies = -3.81 eV per formula unit
M_tot = 0.00 μB per cell

***

9.
DFT (PBE-GGA) results for a geometry-optimized CaHfMg6 structure.

```
CaHfMg6
1.0
-2.586 2.546 -5.449
-2.894 1.015 5.785
2.804 4.255 0.657
Ca Hf Mg
1 1 6
Direct
0.083 0.917 0.000 Ca
0.417 0.583 0.500 Hf
0.093 0.422 0.000 Mg
0.578 0.907 0.000 Mg
0.579 0.421 0.000 Mg
0.429 0.089 0.500 Mg
0.911 0.571 0.500 Mg
0.910 0.090 0.500 Mg
```

Results
E above lowest polymorph = 6.8 kJ/mol of formula units
M_tot = 0.00 μB per cell
ΔH_f (0 K) = 6.57 kJ per mole of atoms

***

10.
DFT (PBE-GGA) results for a geometry-optimized Tb12YEr7 structure.

```
Tb12YEr7
1.0
1.848 -2.146 -9.355
6.633 -4.349 5.712
-8.931 -3.185 2.371
Tb Y Er
12 1 7
Direct
0.496 0.748 0.748 Tb
0.000 0.748 0.252 Tb
0.504 0.252 0.252 Tb
0.000 0.252 0.748 Tb
0.748 0.000 0.252 Tb
0.748 0.496 0.748 Tb
0.252 0.000 0.748 Tb
0.252 0.504 0.252 Tb
0.748 0.748 0.496 Tb
0.252 0.252 0.504 Tb
0.748 0.252 0.000 Tb
0.252 0.748 0.000 Tb
0.000 0.000 0.000 Y
0.500 0.500 0.000 Er
0.000 0.500 0.500 Er
0.500 0.000 0.500 Er
0.500 0.500 0.500 Er
0.000 0.000 0.500 Er
0.500 0.000 0.000 Er
0.000 0.500 0.000 Er
```

Results
E above lowest polymorph = 800.2 kJ/mol of formula units
M_tot = 0.00 μB per cell
ΔH_f (0 K) = 68.91 kJ per mole of atoms

***

11.
DFT (PBE-GGA) results for a geometry-optimized GdScInNi structure.

```
GdScInNi
1.0
4.981 0.000 0.000
2.491 4.314 0.000
2.491 1.438 4.067
Sc Ni Gd In
1 1 1 1
Direct
0.500 0.500 0.500 Sc
0.250 0.250 0.250 Ni
0.000 0.000 0.000 Gd
0.750 0.750 0.750 In
```

Results
M_tot = 7.17 μB per cell
ΔH_f (0 K) = -28.56 kJ per mole of atoms

***

12.
DFT (PBE-GGA) results for a geometry-optimized CaTb6Ho2 structure.

```
CaTb6Ho2
1.0
-6.695 1.333 -6.613
-6.891 -4.022 0.334
4.300 9.105 7.219
Ca Tb Ho
2 12 4
Direct
0.001 0.000 0.250 Ca
0.999 0.000 0.750 Ca
0.232 0.445 0.530 Tb
0.768 0.555 0.969 Tb
0.768 0.555 0.470 Tb
0.232 0.445 0.031 Tb
0.335 0.664 0.920 Tb
0.453 0.886 0.806 Tb
0.665 0.336 0.080 Tb
0.547 0.114 0.194 Tb
0.114 0.232 0.144 Tb
0.887 0.769 0.357 Tb
0.886 0.768 0.856 Tb
0.113 0.231 0.643 Tb
0.336 0.664 0.420 Ho
0.454 0.887 0.307 Ho
0.664 0.336 0.580 Ho
0.546 0.113 0.693 Ho
```

Results
M_tot = 0.00 μB per cell
ΔH_f (0 K) = 5.21 kJ per mole of atoms

***

13.
DFT (PBE-GGA) results for a geometry-optimized PmY3Pt2 structure.

```
PmY3Pt2
1.0
-3.031 2.447 2.343
-6.631 0.844 -5.052
-7.936 -6.883 1.330
Pm Y Pt
2 6 4
Direct
0.442 0.414 0.702 Pm
0.558 0.586 0.298 Pm
0.069 0.032 0.830 Y
0.931 0.968 0.170 Y
0.701 0.684 0.914 Y
0.299 0.316 0.086 Y
0.825 0.813 0.536 Y
0.175 0.187 0.464 Y
0.880 0.334 0.906 Pt
0.120 0.666 0.094 Pt
0.634 0.078 0.653 Pt
0.366 0.922 0.347 Pt
```

Results
E above lowest polymorph = 64.2 kJ/mol of formula units
M_tot = 0.00 μB per cell
ΔH_f (0 K) = -77.70 kJ per mole of atoms

***

14.
DFT (PBE-GGA) results for a geometry-optimized LiMgSi2 structure.

```
LiMgSi2
1.0
2.873 0.021 0.000
-0.723 2.781 0.000
0.000 0.000 8.382
Li Mg Si
1 1 2
Direct
0.000 0.000 0.475 Li
0.500 0.500 0.761 Mg
0.000 0.000 0.022 Si
0.500 0.500 0.242 Si
```

Results
formation energy from raw total energies = 0.65 eV per formula unit
M_tot = 0.00 μB per cell

***

15.
DFT (PBE-GGA) results for a geometry-optimized PrHo2B6 structure.

```
PrHo2B6
1.0
3.960 0.000 0.000
0.000 4.967 -2.867
0.000 0.000 5.735
Pr Ho B
1 2 6
Direct
0.000 0.000 0.000 Pr
0.000 0.333 0.667 Ho
0.000 0.667 0.333 Ho
0.500 0.341 0.341 B
0.500 0.659 0.659 B
0.500 0.000 0.659 B
0.500 0.659 0.000 B
0.500 0.341 0.000 B
0.500 0.000 0.341 B
```

Results
M_tot = 0.00 μB per cell
ΔH_f (0 K) = -43.45 kJ per mole of atoms

***

16.
DFT (PBE-GGA) results for a geometry-optimized PuAlO2 structure.

```
PuAlO2
1.0
-1.610 -0.199 -2.465
-0.441 -2.629 -1.266
-6.201 -1.786 2.428
Al O Pu
1 2 1
Direct
0.500 0.500 0.500 Al
0.118 0.118 0.645 O
0.882 0.882 0.355 O
0.000 0.000 0.000 Pu
```

Results
formation energy from raw total energies = -8.91 eV per formula unit
M_tot = 5.27 μB per cell

***

17.
DFT (PBE-GGA) results for a geometry-optimized LaTb3Nd2Sm6 structure.

```
LaTb3Nd2Sm6
1.0
-4.890 -3.400 -2.042
5.310 -2.876 1.783
-4.264 1.362 11.187
La Tb Nd Sm
1 3 2 6
Direct
0.000 0.000 0.000 La
0.167 0.833 0.500 Tb
0.833 0.167 0.500 Tb
0.500 0.500 0.500 Tb
0.333 0.667 0.000 Nd
0.667 0.333 0.000 Nd
0.915 0.581 0.746 Sm
0.751 0.751 0.254 Sm
0.085 0.419 0.254 Sm
0.581 0.915 0.746 Sm
0.249 0.249 0.746 Sm
0.419 0.085 0.254 Sm
```

Results
M_tot = 0.00 μB per cell
ΔH_f (0 K) = 1.64 kJ per mole of atoms

***

18.
DFT (PBE-GGA) results for a geometry-optimized Pu2PaB6 structure.

```
Pu2PaB6
1.0
-0.891 3.025 -0.509
-5.716 0.323 1.902
1.041 2.869 5.204
Pu Pa B
2 1 6
Direct
0.367 0.133 0.133 Pu
0.633 0.867 0.867 Pu
0.500 0.500 0.500 Pa
0.195 0.553 0.057 B
0.805 0.447 0.943 B
0.805 0.943 0.447 B
0.000 0.208 0.792 B
0.000 0.792 0.208 B
0.195 0.057 0.553 B
```

Results
M_tot = 2.61 μB per cell
ΔH_f (0 K) = -14.73 kJ per mole of atoms

***

19.
DFT (PBE-GGA) results for a geometry-optimized La3Tb3TmS8 structure.

```
La3Tb3TmS8
1.0
-4.967 -4.253 4.557
0.055 -1.060 -7.899
6.296 -2.620 4.416
La Tb Tm S
3 3 1 8
Direct
0.000 0.000 0.000 La
0.000 0.500 0.000 La
0.500 0.500 0.000 La
0.500 0.000 0.500 Tb
0.500 0.500 0.500 Tb
0.000 0.500 0.500 Tb
0.000 0.000 0.500 Tm
0.256 0.512 0.268 S
0.744 0.488 0.732 S
0.759 0.518 0.270 S
0.241 0.482 0.730 S
0.759 0.012 0.270 S
0.241 0.988 0.730 S
0.253 0.011 0.270 S
0.747 0.989 0.730 S
```

Results
formation energy from raw total energies = -31.65 eV per formula unit
M_tot = 0.00 μB per cell

***

20.
DFT (PBE-GGA) results for a geometry-optimized Pm2Nd3Sb2 structure.

```
Pm2Nd3Sb2
1.0
-1.834 -3.559 -0.593
1.916 0.215 -7.216
6.562 -1.990 5.466
Pm Nd Sb
2 3 2
Direct
0.898 0.796 0.795 Pm
0.102 0.204 0.205 Pm
0.000 0.500 0.000 Nd
0.216 0.760 0.431 Nd
0.784 0.240 0.569 Nd
0.588 0.867 0.176 Sb
0.412 0.133 0.824 Sb
```

Results
formation energy from raw total energies = -3.22 eV per formula unit
M_tot = 0.74 μB per cell

***

21.
DFT (PBE-GGA) results for a geometry-optimized RbS2O4 structure.

```
RbS2O4
1.0
5.285 -0.220 0.648
2.023 6.043 0.145
-0.968 -1.362 5.060
Rb S O
1 2 4
Direct
0.000 0.000 0.000 Rb
0.625 0.777 0.375 S
0.375 0.223 0.625 S
0.561 0.774 0.099 O
0.439 0.226 0.901 O
0.099 0.226 0.561 O
0.901 0.774 0.439 O
```

Results
formation energy from raw total energies = -9.15 eV per formula unit
M_tot = 1.02 μB per cell

***

22.
DFT (PBE-GGA) results for a geometry-optimized LiY2Cd structure.

```
LiY2Cd
1.0
5.937 -2.011 -3.346
-1.997 5.942 3.346
-4.294 0.364 5.650
Li Y Cd
1 2 1
Direct
0.000 0.000 0.000 Li
0.000 0.247 0.247 Y
0.000 0.753 0.753 Y
0.000 0.500 0.500 Cd
```

Results
E above lowest polymorph = 182.0 kJ/mol of formula units
M_tot = 0.00 μB per cell
ΔH_f (0 K) = 31.09 kJ per mole of atoms